1.
Computed, not measured: a geometry-optimized Ac3ZnGa6Ge2 structure at the GGA-PBE level of DFT.

Geometry as POSCAR:
```
Ac3ZnGa6Ge2
1.0
6.429 0.000 0.000
-3.214 5.567 0.000
0.000 0.000 8.441
Ac Zn Ga Ge
3 1 6 2
direct
0.000 0.000 0.000
0.333 0.667 0.670
0.667 0.333 0.330
0.000 0.000 0.500
0.193 0.385 0.312
0.193 0.807 0.312
0.385 0.193 0.688
0.615 0.807 0.312
0.807 0.193 0.688
0.807 0.615 0.688
0.333 0.667 0.053
0.667 0.333 0.947
```

***

2.
Computed, not measured: a geometry-optimized Ac2Zn3Ga4Ge structure at the GGA-PBE level of DFT.

Geometry as POSCAR:
```
Ac2Zn3Ga4Ge
1.0
4.510 0.000 0.000
0.000 4.510 0.000
0.000 0.000 10.517
Ac Zn Ga Ge
2 3 4 1
direct
0.000 0.500 0.249
0.500 0.000 0.751
0.000 0.500 0.873
0.500 0.000 0.127
0.500 0.500 0.500
0.000 0.000 0.000
0.000 0.500 0.633
0.500 0.000 0.367
0.500 0.500 0.000
0.000 0.000 0.500
```

***

3.
Computed, not measured: a geometry-optimized AcZnGaGe structure at the GGA-PBE level of DFT.

Geometry as POSCAR:
```
AcZnGaGe
1.0
0.000 3.622 3.622
3.622 0.000 3.622
3.622 3.622 0.000
Ac Zn Ga Ge
1 1 1 1
direct
0.000 0.000 0.000
0.750 0.750 0.750
0.250 0.250 0.250
0.500 0.500 0.500
```

***

What ΔH_f (0 K) values result from the calculations? In sequence: -0.273; -0.456; -0.186 eV per atom.
What uncorrected energy values result from the calculations? In sequence: -3.69; -3.33; -3.44 eV/atom.
What total magnetic moment values result from the calculations? In sequence: 0.0; 0.0; 0.0 μB per formula unit.